Entry from the Alexandria database: LaAs2HSe after structural relaxation (PBE).

Computed properties:
total magnetic moment	2.41	μB per cell
energy	-3.475	eV/atom

a b c (Å): 5.9081 5.9081 5.7607
angles (deg): 90.00 90.00 90.00
Site moments in Bohr magnetons follow the coordinates.
Fractional positions:
As (0.0000, 0.5000, 0.0000)  0.29
As (0.5000, 0.0000, 0.0000)  0.29
H (0.5000, 0.5000, 0.5000)  0.38
Se (0.0000, 0.0000, 0.5000)  0.06
La (0.0000, 0.0000, 0.0000)  0.03



Entry from the Alexandria database: LaAsHSe2 after structural relaxation (PBE).

Computed properties:
total magnetic moment	3.54	μB per cell
energy	-3.564	eV/atom

a b c (Å): 5.8047 5.8047 6.1112
angles (deg): 90.00 90.00 90.00
Site moments in Bohr magnetons follow the coordinates.
Fractional positions:
H (0.5000, 0.5000, 0.5000)  0.38
As (0.0000, 0.0000, 0.5000)  0.81
Se (0.0000, 0.5000, 0.0000)  0.20
Se (0.5000, 0.0000, 0.0000)  0.20
La (0.0000, 0.0000, 0.0000)  0.07



Entry from the Alexandria database: La6As2HSe3 after structural relaxation (PBE).

Computed properties:
total magnetic moment	0.00	μB per cell
energy	-5.951	eV/atom

a b c (Å): 4.3211 8.5546 9.5498
angles (deg): 103.43 103.08 90.00
Fractional positions:
La (0.3307, 0.4197, 0.6614)
La (0.0009, 0.7490, 0.0017)
La (0.3365, 0.9151, 0.6731)
La (0.9991, 0.2510, 0.9983)
La (0.6693, 0.5803, 0.3386)
La (0.6635, 0.0849, 0.3269)
H (0.5000, 0.0000, 0.0000)
Se (0.1693, 0.8351, 0.3386)
Se (0.8307, 0.1649, 0.6614)
Se (0.5000, 0.5000, 0.0000)
As (0.1631, 0.3290, 0.3263)
As (0.8369, 0.6710, 0.6737)



Entry from the Alexandria database: LaTiAs2H after structural relaxation (PBE).

Computed properties:
total magnetic moment	0.00	μB per cell
energy	-5.910	eV/atom

a b c (Å): 4.9925 4.9925 3.9198
angles (deg): 90.00 90.00 90.00
Fractional positions:
As (0.5000, 0.0000, 0.0000)
As (0.0000, 0.5000, 0.0000)
H (0.0000, 0.0000, 0.5000)
La (0.5000, 0.5000, 0.5000)
Ti (0.0000, 0.0000, 0.0000)